# 1
The following is a DFT calculation (GGA-PBE) of Ho2Co3Si5 after structural relaxation.

Results
The total magnetization comes out at 0.01 μB per formula unit. The total energy is -130.62 eV per cell. Its space group is Ibam, No. 72.

abc: 5.501 7.848 7.848
angles: 105.60 110.52 69.48
Positions (direct):
1 Si 0.100 0.059 0.259
2 Si 0.250 0.500 0.500
3 Si 0.400 0.259 0.059
4 Si 0.525 0.225 0.775
5 Si 0.750 0.500 0.500
6 Si 0.975 0.775 0.225
7 Si 0.475 0.775 0.225
8 Si 0.900 0.941 0.741
9 Si 0.025 0.225 0.775
10 Si 0.600 0.741 0.941
11 Ho 0.134 0.599 0.867
12 Ho 0.366 0.867 0.599
13 Ho 0.866 0.401 0.133
14 Ho 0.634 0.133 0.401
15 Co 0.139 0.254 0.531
16 Co 0.861 0.746 0.469
17 Co 0.250 0.000 0.000
18 Co 0.750 0.000 0.000
19 Co 0.361 0.531 0.254
20 Co 0.639 0.469 0.746

***

# 2
The following is a DFT calculation (GGA-PBE) of HoCoSi after structural relaxation.

Results
The total magnetization comes out at 0.00 μB per formula unit. The total energy is -77.29 eV per cell. Its space group is Pnma, No. 62.

abc: 6.852 4.161 6.899
angles: 90.00 90.00 90.00
Positions (direct):
1 Co 0.146 0.250 0.566
2 Co 0.354 0.750 0.066
3 Co 0.646 0.250 0.934
4 Co 0.854 0.750 0.434
5 Si 0.304 0.250 0.894
6 Si 0.696 0.750 0.106
7 Si 0.804 0.250 0.606
8 Si 0.196 0.750 0.394
9 Ho 0.483 0.250 0.312
10 Ho 0.017 0.750 0.812
11 Ho 0.983 0.250 0.188
12 Ho 0.517 0.750 0.688

***

# 3
The following is a DFT calculation (GGA-PBE) of HoCoSi after structural relaxation.

Results
The total magnetization comes out at 0.00 μB per formula unit. The total energy is -56.86 eV per cell. Its space group is P-62m, No. 189.

abc: 6.623 6.623 3.804
angles: 90.00 90.00 120.00
Positions (direct):
1 Si 0.000 0.236 0.000
2 Si 0.764 0.764 0.000
3 Si 0.236 0.000 0.000
4 Ho 0.000 0.580 0.500
5 Ho 0.580 0.000 0.500
6 Ho 0.420 0.420 0.500
7 Co 0.333 0.667 0.000
8 Co 0.667 0.333 0.000
9 Co 0.000 0.000 0.500

***

# 4
The following is a DFT calculation (GGA-PBE) of HoCoSi after structural relaxation.

Results
The total magnetization comes out at 0.90 μB per formula unit. The total energy is -51.11 eV per cell. Its space group is P-62m, No. 189.

abc: 7.642 7.642 3.090
angles: 90.00 90.00 120.00
Last column: magnetic moment on the atom in μB.
Positions (direct):
1 Si 0.667 0.333 0.500  0.02
2 Si 0.000 0.000 0.000  0.03
3 Si 0.333 0.667 0.500  0.02
4 Co 0.603 0.000 0.000  1.01
5 Co 0.000 0.603 0.000  1.03
6 Co 0.397 0.397 0.000  0.99
7 Ho 0.000 0.291 0.500  -0.11
8 Ho 0.709 0.709 0.500  -0.11
9 Ho 0.291 0.000 0.500  -0.11

***

# 5
The following is a DFT calculation (GGA-PBE) of Ho3CoSi3 after structural relaxation.

Results
The total magnetization comes out at 0.00 μB per formula unit. The total energy is -85.34 eV per cell. Its space group is C2/m, No. 12.

abc: 5.606 5.606 13.404
angles: 109.48 109.48 43.47
Positions (direct):
1 Ho 0.601 0.601 0.420
2 Ho 0.253 0.253 0.271
3 Ho 0.747 0.747 0.729
4 Ho 0.475 0.475 0.121
5 Ho 0.525 0.525 0.879
6 Ho 0.399 0.399 0.580
7 Si 0.139 0.139 0.044
8 Si 0.115 0.115 0.576
9 Si 0.885 0.885 0.424
10 Si 0.861 0.861 0.956
11 Si 0.052 0.052 0.741
12 Si 0.948 0.948 0.259
13 Co 0.247 0.247 0.917
14 Co 0.753 0.753 0.083

***

# 6
The following is a DFT calculation (GGA-PBE) of HoCoSi after structural relaxation.

Results
The total magnetization comes out at 0.00 μB per formula unit. The total energy is -56.70 eV per cell. Its space group is P-62m, No. 189.

abc: 6.667 6.667 3.882
angles: 90.00 90.00 120.00
Positions (direct):
1 Si 0.667 0.333 0.000
2 Si 0.333 0.667 0.000
3 Si 0.000 0.000 0.500
4 Ho 0.581 0.000 0.500
5 Ho 0.419 0.419 0.500
6 Ho 0.000 0.581 0.500
7 Co 0.227 0.000 0.000
8 Co 0.773 0.773 0.000
9 Co 0.000 0.227 0.000

***

# 7
The following is a DFT calculation (GGA-PBE) of Ho5Co4Si14 after structural relaxation.

Results
The total magnetization comes out at 0.53 μB per formula unit. The total energy is -284.78 eV per cell. Its space group is P2_1/c, No. 14.

abc: 12.358 7.805 7.731
angles: 90.00 98.83 90.00
Last column: magnetic moment on the atom in μB.
Positions (direct):
1 Si 0.677 0.274 0.550  0.00
2 Si 0.323 0.994 0.732  0.00
3 Si 0.323 0.226 0.962  0.00
4 Si 0.500 0.166 0.834  0.01
5 Si 0.322 0.494 0.682  0.00
6 Si 0.058 0.000 0.888  0.00
7 Si 0.677 0.774 0.038  0.00
8 Si 0.060 0.000 0.391  0.00
9 Si 0.060 0.500 0.891  0.00
10 Si 0.678 0.994 0.818  0.00
11 Si 0.323 0.726 0.450  0.00
12 Si 0.322 0.006 0.182  0.00
13 Si 0.323 0.774 0.950  0.00
14 Si 0.058 0.500 0.388  0.00
15 Si 0.677 0.006 0.268  0.00
16 Si 0.323 0.274 0.462  0.00
17 Si 0.500 0.834 0.166  0.01
18 Si 0.678 0.506 0.318  0.00
19 Si 0.942 0.500 0.612  0.00
20 Si 0.500 0.666 0.666  0.01
21 Si 0.323 0.506 0.232  0.00
22 Si 0.940 0.500 0.109  0.00
23 Si 0.677 0.226 0.050  0.00
24 Si 0.677 0.494 0.768  0.00
25 Si 0.940 0.000 0.609  0.00
26 Si 0.942 0.000 0.112  0.00
27 Si 0.677 0.726 0.538  0.00
28 Si 0.500 0.334 0.334  0.01
29 Co 0.252 0.500 0.939  0.03
30 Co 0.748 0.500 0.061  0.03
31 Co 0.500 0.126 0.128  0.16
32 Co 0.500 0.874 0.872  0.16
33 Co 0.748 0.000 0.561  0.03
34 Co 0.500 0.626 0.372  0.18
35 Co 0.252 0.000 0.439  0.03
36 Co 0.500 0.374 0.628  0.18
37 Ho 0.136 0.251 0.160  0.01
38 Ho 0.864 0.751 0.340  0.01
39 Ho 0.864 0.749 0.840  0.01
40 Ho 0.500 0.500 0.000  0.02
41 Ho 0.136 0.249 0.660  0.01
42 Ho 0.864 0.248 0.842  0.01
43 Ho 0.136 0.752 0.158  0.01
44 Ho 0.864 0.252 0.342  0.01
45 Ho 0.136 0.748 0.658  0.01
46 Ho 0.500 0.000 0.500  0.02

***

# 8
The following is a DFT calculation (GGA-PBE) of HoCoSi after structural relaxation.

Results
The total magnetization comes out at 1.04 μB per formula unit. The total energy is -15.47 eV per cell. Its space group is F-43m, No. 216.

abc: 4.475 4.475 4.475
angles: 60.00 60.00 60.00
Last column: magnetic moment on the atom in μB.
Positions (direct):
1 Co 0.250 0.250 0.250  1.12
2 Ho 0.000 0.000 0.000  -0.10
3 Si 0.750 0.750 0.750  -0.01

***

# 9
The following is a DFT calculation (GGA-PBE) of HoCoSi after structural relaxation.

Results
The total magnetization comes out at 0.67 μB per formula unit. The total energy is -18.09 eV per cell. Its space group is F-43m, No. 216.

abc: 4.263 4.263 4.263
angles: 60.00 60.00 60.00
Positions (direct):
1 Si 0.750 0.750 0.750
2 Ho 0.250 0.250 0.250
3 Co 0.000 0.000 0.000

***

# 10
The following is a DFT calculation (GGA-PBE) of SmHoCo2Si2 after structural relaxation.

Results
The total magnetization comes out at 0.61 μB per formula unit. The total energy is -38.72 eV per cell. Its space group is P4mm, No. 99.

abc: 3.988 3.988 6.755
angles: 90.00 90.00 90.00
Last column: magnetic moment on the atom in μB.
Positions (direct):
1 Si 0.500 0.500 0.178  0.01
2 Si 0.000 0.000 0.814  0.01
3 Sm 0.000 0.000 0.324  0.00
4 Co 0.500 0.000 0.997  -0.33
5 Co 0.000 0.500 0.997  -0.32
6 Ho 0.500 0.500 0.690  0.01

***

# 11
The following is a DFT calculation (GGA-PBE) of HoTmCoSi2 after structural relaxation.

Results
The total magnetization comes out at 0.23 μB per formula unit. The total energy is -61.85 eV per cell. Its space group is C2/m, No. 12.

abc: 5.546 5.546 9.899
angles: 116.65 116.65 43.47
Last column: magnetic moment on the atom in μB.
Positions (direct):
1 Si 0.352 0.352 0.934  0.00
2 Si 0.507 0.507 0.373  0.00
3 Si 0.648 0.648 0.066  0.00
4 Si 0.493 0.493 0.627  0.00
5 Ho 0.187 0.187 0.607  0.10
6 Ho 0.813 0.813 0.393  0.10
7 Tm 0.001 0.001 0.830  0.03
8 Tm 0.999 0.999 0.170  0.03
9 Co 0.272 0.272 0.122  0.05
10 Co 0.728 0.728 0.878  0.05

***

# 12
The following is a DFT calculation (GGA-PBE) of YHoCo2Si2 after structural relaxation.

Results
The total magnetization comes out at 0.38 μB per formula unit. The total energy is -40.61 eV per cell. Its space group is P4mm, No. 99.

abc: 3.943 3.943 6.659
angles: 90.00 90.00 90.00
Last column: magnetic moment on the atom in μB.
Positions (direct):
1 Co 0.000 0.500 0.999  0.06
2 Co 0.500 0.000 0.999  0.06
3 Si 0.000 0.000 0.188  0.00
4 Si 0.500 0.500 0.810  0.00
5 Y 0.500 0.500 0.324  0.06
6 Ho 0.000 0.000 0.681  0.09